DFT (PBE) results for Be3Br2 after structural relaxation.

excess energy over the best structure of this formula in the dataset: 0 meV per atom
raw formation energy: 0.213 eV/atom
VASP energy: -13.5 eV/cell
space-group type: P-3m1
density: 3.292 g cm⁻³

Cell lengths 3.466, 3.466, 9.056 Å; angles 90.00, 90.00, 120.00 degrees
Positions (direct):
Be 0.333 0.667 0.117
Be 0.000 0.000 0.000
Be 0.667 0.333 0.883
Br 0.333 0.667 0.725
Br 0.667 0.333 0.275



DFT (PBE) results for BeBr after structural relaxation.

excess energy over the best structure of this formula in the dataset: 419 meV per atom
raw formation energy: 0.015 eV/atom
VASP energy: -10.7 eV/cell
space-group type: Imma
density: 2.215 g cm⁻³

Cell lengths 6.645, 6.645, 6.643 Å; angles 152.07, 92.33, 94.36 degrees
Positions (direct):
Br 0.152 0.652 0.500
Br 0.598 0.598 0.000
Be 0.984 0.984 0.000
Be 0.766 0.266 0.500



DFT (PBE) results for BeBr after structural relaxation.

excess energy over the best structure of this formula in the dataset: 876 meV per atom
raw formation energy: 0.471 eV/atom
VASP energy: -8.9 eV/cell
space-group type: P6_3mc
density: 3.520 g cm⁻³

Cell lengths 3.451, 3.451, 8.136 Å; angles 90.00, 90.00, 120.00 degrees
Positions (direct):
Br 0.333 0.667 0.714
Br 0.667 0.333 0.214
Be 0.667 0.333 0.868
Be 0.333 0.667 0.368



DFT (PBE) results for BeBr2 after structural relaxation.

excess energy over the best structure of this formula in the dataset: 339 meV per atom
raw formation energy: -0.684 eV/atom
VASP energy: -18.2 eV/cell
space-group type: Pnnm
density: 3.390 g cm⁻³

Cell lengths 3.320, 6.649, 7.492 Å; angles 90.00, 90.00, 90.00 degrees
Positions (direct):
Br 0.000 0.310 0.626
Br 0.500 0.810 0.874
Br 0.000 0.690 0.374
Br 0.500 0.190 0.126
Be 0.000 0.000 0.000
Be 0.500 0.500 0.500



DFT (PBE) results for BeBr5 after structural relaxation.

excess energy over the best structure of this formula in the dataset: 0 meV per atom
raw formation energy: -0.187 eV/atom
VASP energy: -13.2 eV/cell
space-group type: Cmmm
density: 3.313 g cm⁻³

Cell lengths 7.035, 7.035, 8.786 Å; angles 90.00, 90.00, 151.91 degrees
Positions (direct):
Br 0.667 0.333 0.500
Br 0.333 0.667 0.500
Br 0.885 0.115 0.000
Br 0.000 0.000 0.500
Br 0.115 0.885 0.000
Be 0.500 0.500 0.000



DFT (PBE) results for Be3Br2 after structural relaxation.

excess energy over the best structure of this formula in the dataset: 9 meV per atom
raw formation energy: 0.222 eV/atom
VASP energy: -26.8 eV/cell
space-group type: Fdd2
density: 3.298 g cm⁻³

Cell lengths 8.831, 8.297, 5.086 Å; angles 78.58, 67.05, 34.37 degrees
Positions (direct):
Be 0.146 0.354 0.354
Be 0.935 0.326 0.804
Be 0.924 0.315 0.315
Be 0.896 0.104 0.104
Be 0.446 0.315 0.315
Be 0.935 0.804 0.326
Br 0.578 0.505 0.761
Br 0.745 0.672 0.094
Br 0.156 0.761 0.505
Br 0.489 0.094 0.672



DFT (PBE) results for BeBr4 after structural relaxation.

excess energy over the best structure of this formula in the dataset: 270 meV per atom
raw formation energy: 0.298 eV/atom
VASP energy: -8.9 eV/cell
space-group type: Im-3m
density: 4.182 g cm⁻³

Cell lengths 5.534, 5.534, 5.534 Å; angles 109.47, 109.47, 109.47 degrees
Positions (direct):
Br 0.000 0.000 0.500
Br 0.500 0.500 0.500
Br 0.000 0.500 0.000
Br 0.500 0.000 0.000
Be 0.000 0.000 0.000



DFT (PBE) results for Be5Br3 after structural relaxation.

excess energy over the best structure of this formula in the dataset: 0 meV per atom
raw formation energy: 0.020 eV/atom
VASP energy: -47.0 eV/cell
space-group type: Cm
density: 2.619 g cm⁻³

Cell lengths 8.452, 9.352, 7.211 Å; angles 104.29, 98.14, 133.27 degrees
Positions (direct):
Be 0.575 0.846 0.327
Be 0.590 0.129 0.762
Be 0.328 0.867 0.238
Be 0.034 0.537 0.317
Be 0.869 0.167 0.331
Be 0.038 0.336 0.669
Be 0.678 0.141 0.500
Be 0.748 0.019 0.673
Be 0.217 0.720 0.683
Be 0.381 0.848 0.500
Br 0.130 0.792 0.939
Br 0.648 0.845 0.046
Br 0.227 0.322 0.500
Br 0.738 0.779 0.500
Br 0.101 0.298 0.954
Br 0.691 0.353 0.061